No. 1
An optimized crystal structure of Ag2Pd. Source: Alexandria via LeMat-Bulk, functional GGA-PBE.

abc: 7.5647 7.5647 7.5647
angles: 90.00 90.00 90.00
Space group Fd-3m (No. 227, origin choice 2)
Symmetry-distinct sites (fractional):
Ag: 0.0000 0.0000 0.0000
Pd: 0.1250 0.1250 0.6250

## Properties
**DOS(E_F)**: 0.47 states/eV/atom
**Offset from the most stable computed form**: 250.0 meV/atom


No. 2
An optimized crystal structure of Ag8Pd3. Source: Alexandria via LeMat-Bulk, functional GGA-PBE.

abc: 8.7126 8.7126 10.1850
angles: 90.00 90.00 120.00
Space group R-3 (No. 148, hexagonal axes)
Symmetry-distinct sites (fractional):
Ag: 0.0000 0.0000 0.1333
Ag: 0.0085 0.2058 0.3922
Pd: 0.0000 0.5000 0.5000

## Properties
**DOS(E_F)**: 0.22 states/eV/atom
**Offset from the most stable computed form**: 435.2 meV/atom


No. 3
An optimized crystal structure of AgPd4. Source: Alexandria via LeMat-Bulk, functional GGA-PBE.

abc: 9.4991 13.6045 4.9809
angles: 90.00 90.00 90.00
Space group Fdd2 (No. 43)
Symmetry-distinct sites (fractional):
Ag: 0.0000 0.0000 0.0000
Pd: 0.0185 0.2969 0.5451
Pd: 0.0334 0.4005 0.0140

## Properties
**DOS(E_F)**: 2.04 states/eV/atom
**Offset from the most stable computed form**: 64.3 meV/atom


No. 4
An optimized crystal structure of Ag2Pd3. Source: Alexandria via LeMat-Bulk, functional GGA-PBE.

abc: 7.7545 7.7545 10.2060
angles: 90.00 90.00 120.00
Space group R-3c (No. 167, hexagonal axes)
Symmetry-distinct sites (fractional):
Ag: 0.0000 0.0000 0.1243
Pd: 0.0000 0.3196 0.2500

## Properties
**DOS(E_F)**: 1.60 states/eV/atom
**Offset from the most stable computed form**: 323.5 meV/atom


Please write out number 4 again, unchanged.
An optimized crystal structure of Ag2Pd3. Source: Alexandria via LeMat-Bulk, functional GGA-PBE.

abc: 7.7545 7.7545 10.2060
angles: 90.00 90.00 120.00
Space group R-3c (No. 167, hexagonal axes)
Symmetry-distinct sites (fractional):
Ag: 0.0000 0.0000 0.1243
Pd: 0.0000 0.3196 0.2500

## Properties
**DOS(E_F)**: 1.60 states/eV/atom
**Offset from the most stable computed form**: 323.5 meV/atom


Number 4 is which compound?
Ag2Pd3


Among the records above, which one has the lowest DOS(E_F)?
Ag8Pd3